A plane-wave DFT calculation with PBE was carried out for crystalline Tl2CdGaAu at its relaxed geometry.

Calculated values
Volume in Å³/f.u.: 153.48
Raw total energy in eV for the cell shown: -10.4
ΔH_f (0 K) in eV/atom: 0.3154
Symmetry: P4/mmm
ρ in g/cm3: 8.5

a = 5.4994 Å, b = 5.0750 Å, c = 5.4994 Å
α = 90.00°, β = 90.00°, γ = 90.00°
Last column: nearest neighbours and their distance in Å.
Sites, in units of the cell vectors:
Tl  0.0000  0.0000  0.5000  2 Ga 2.75
Cd  0.0000  0.5000  0.0000  2 Ga 2.54
Tl  0.5000  0.0000  0.0000  2 Ga 2.75
Au  0.5000  0.5000  0.5000  8 Tl 3.74, 4 Cd 3.89
Ga  0.0000  0.0000  0.0000  2 Cd 2.54, 4 Tl 2.75

=====

A plane-wave DFT calculation with PBE was carried out for crystalline NdTmSe at its relaxed geometry.

Calculated values
Volume in Å³/f.u.: 87.25
Raw total energy in eV for the cell shown: -16.0
Symmetry: P3m1
ρ in g/cm3: 7.5

a = 6.6632 Å, b = 3.8884 Å, c = 3.8884 Å
α = 120.00°, β = 90.00°, γ = 90.00°
Last column: nearest neighbours and their distance in Å.
Sites, in units of the cell vectors:
Se  0.3226  0.3333  0.6667  3 Tm 2.85, 3 Nd 2.98
Tm  0.0602  0.0000  0.0000  3 Se 2.85
Nd  0.6172  0.6667  0.3333  3 Se 2.98

=====

A plane-wave DFT calculation with PBE was carried out for crystalline Ac3Tb3DyS8 at its relaxed geometry.

Calculated values
Volume in Å³/f.u.: 388.03
Raw total energy in eV for the cell shown: -94.5
Symmetry: R-3m
ρ in g/cm3: 6.7

a = 8.0567 Å, b = 8.0569 Å, c = 8.3234 Å
α = 118.95°, β = 90.00°, γ = 120.00°
Last column: nearest neighbours and their distance in Å.
Sites, in units of the cell vectors:
S  0.7407  0.9820  0.7232  2 Tb 2.79, 1 Dy 2.79, 2 Ac 3.01
S  0.2413  0.4825  0.7232  2 Tb 2.79, 1 Dy 2.79, 2 Ac 3.01
Dy  0.0000  0.0000  0.5000  6 S 2.79
Ac  0.0000  0.0000  0.0000  6 S 3.01-3.02
S  0.2413  0.9820  0.7232  2 Tb 2.79, 1 Dy 2.79, 2 Ac 3.01
S  0.7406  0.4811  0.7217  3 Tb 2.78, 3 Ac 3.02
S  0.7587  0.5175  0.2768  2 Tb 2.79, 1 Dy 2.79, 2 Ac 3.01
Tb  0.5000  0.5000  0.5000  6 S 2.78-2.79
S  0.2594  0.5189  0.2783  3 Tb 2.78, 3 Ac 3.02
Tb  0.0000  0.5000  0.5000  6 S 2.78-2.79
Ac  0.0000  0.5000  0.0000  6 S 3.01-3.02
S  0.2593  0.0180  0.2768  2 Tb 2.79, 1 Dy 2.79, 2 Ac 3.01
Ac  0.5000  0.5000  0.0000  6 S 3.01-3.02
S  0.7587  0.0180  0.2768  2 Tb 2.79, 1 Dy 2.79, 2 Ac 3.01
Tb  0.5000  0.0000  0.5000  6 S 2.78-2.79

=====

A plane-wave DFT calculation with PBE was carried out for crystalline CoSi2Au at its relaxed geometry.

Calculated values
Volume in Å³/f.u.: 56.32
Raw total energy in eV for the cell shown: -20.2
Symmetry: Cmmm
ρ in g/cm3: 9.2

a = 4.2968 Å, b = 4.2968 Å, c = 3.1215 Å
α = 90.00°, β = 90.00°, γ = 102.25°
Last column: nearest neighbours and their distance in Å.
Sites, in units of the cell vectors:
Si  0.0000  0.0000  0.0000  4 Au 2.66, 4 Co 2.66, 2 Si 2.70
Co  0.0000  0.5000  0.5000  8 Si 2.66, 2 Au 2.70
Si  0.5000  0.5000  0.0000  4 Co 2.66, 4 Au 2.66, 2 Si 2.70
Au  0.5000  0.0000  0.5000  8 Si 2.66, 2 Co 2.70

=====

A plane-wave DFT calculation with PBE was carried out for crystalline CrTeBr2 at its relaxed geometry.

Calculated values
Volume in Å³/f.u.: 107.99
Raw total energy in eV for the cell shown: -15.9
Symmetry: P4mm
ρ in g/cm3: 5.2

a = 3.3091 Å, b = 3.3091 Å, c = 9.8622 Å
α = 90.00°, β = 90.00°, γ = 90.00°
Last column: nearest neighbours and their distance in Å.
Sites, in units of the cell vectors:
Br  0.5000  0.5000  0.3394  4 Cr 2.86
Cr  0.0000  0.0000  0.5065  4 Br 2.86, 4 Te 2.90
Br  0.0000  0.0000  0.9735  4 Br 3.31
Te  0.5000  0.5000  0.6806  4 Cr 2.90

=====

A plane-wave DFT calculation with PBE was carried out for crystalline TmNiAgRh at its relaxed geometry.

Calculated values
Volume in Å³/f.u.: 67.38
Raw total energy in eV for the cell shown: -21.7
ΔH_f (0 K) in eV/atom: -0.3039
Symmetry: F-43m
ρ in g/cm3: 10.8

a = 4.5676 Å, b = 4.5676 Å, c = 4.5676 Å
α = 60.00°, β = 60.00°, γ = 60.00°
Last column: nearest neighbours and their distance in Å.
Sites, in units of the cell vectors:
Rh  0.7500  0.7500  0.7500  4 Tm 2.80, 4 Ag 2.80
Ag  0.5000  0.5000  0.5000  4 Rh 2.80, 4 Ni 2.80
Tm  0.0000  0.0000  0.0000  4 Rh 2.80, 4 Ni 2.80
Ni  0.2500  0.2500  0.2500  4 Tm 2.80, 4 Ag 2.80

=====

Question: The lowest ρ belongs to which entry?
Answer: CrTeBr2

=====

Question: Which formula does entry 4 have?
Answer: CoSi2Au